No. 1
Compound: TlH2S
Source: Alexandria
Functional: GGA-PBE
Structure: optimized geometry

Cell: 3.6314 3.6342 6.9257 Å, 80.30 80.75 63.65°
Last column: nearest neighbours and their distance in Å.
Atoms (fractional coordinates):
Tl1 0.0000 0.0000 0.0000  4 H 3.22-3.36, 2 S 3.46
H1 0.1067 0.6144 0.5969  1 S 1.36
H2 0.3864 0.9017 0.4050  1 S 1.36
S1 0.0017 0.0002 0.4999  2 H 1.36

Computed properties:
V in Å³/cell: 80.35
Distance to the lowest polymorph of the same formula in meV per atom: 26

=====

No. 2
Compound: TlH2S
Source: Alexandria
Functional: GGA-PBE
Structure: optimized geometry

Cell: 3.9405 3.9405 10.5510 Å, 90.00 90.00 120.00°
Last column: nearest neighbours and their distance in Å.
Atoms (fractional coordinates):
Tl1 0.0000 0.0000 0.1745  3 H 2.34
Tl2 0.0000 0.0000 0.8255  3 H 2.34
H1 0.3333 0.6667 0.1207  3 Tl 2.34
H2 0.3333 0.6667 0.5340  1 S 1.36
H3 0.6667 0.3333 0.4660  1 S 1.36
H4 0.6667 0.3333 0.8793  3 Tl 2.34
S1 0.3333 0.6667 0.6626  1 H 1.36
S2 0.6667 0.3333 0.3374  1 H 1.36

Computed properties:
V in Å³/cell: 141.88
Distance to the lowest polymorph of the same formula in meV per atom: 262

=====

No. 3
Compound: TlHS2
Source: Alexandria
Functional: GGA-PBE
Structure: optimized geometry

Cell: 3.2848 3.2848 22.6284 Å, 90.00 90.00 120.00°
Last column: nearest neighbours and their distance in Å.
Atoms (fractional coordinates):
Tl1 0.0000 0.0000 0.0000  2 S 2.74
Tl2 0.3333 0.6667 0.6667  2 S 2.74
Tl3 0.6667 0.3333 0.3333  2 S 2.74
H1 0.0000 0.0000 0.5000  6 S 2.16
H2 0.3333 0.6667 0.1667  6 S 2.16
H3 0.6667 0.3333 0.8333  6 S 2.16
S1 0.0000 0.0000 0.1212  3 H 2.16
S2 0.0000 0.0000 0.8788  3 H 2.16
S3 0.3333 0.6667 0.5455  3 H 2.16
S4 0.3333 0.6667 0.7879  3 H 2.16
S5 0.6667 0.3333 0.2121  3 H 2.16
S6 0.6667 0.3333 0.4545  3 H 2.16

Computed properties:
V in Å³/cell: 211.45
Distance to the lowest polymorph of the same formula in meV per atom: 944

=====

No. 4
Compound: TlHS2
Source: Alexandria
Functional: GGA-PBE
Structure: optimized geometry

Cell: 4.0607 4.0607 18.3376 Å, 90.00 90.00 120.00°
Last column: nearest neighbours and their distance in Å.
Atoms (fractional coordinates):
Tl1 0.0000 0.0000 0.0000  6 S 2.74
Tl2 0.3333 0.6667 0.6667  6 S 2.74
Tl3 0.6667 0.3333 0.3333  6 S 2.74
H1 0.0000 0.0000 0.5000  2 S 1.64
H2 0.3333 0.6667 0.1667  2 S 1.64
H3 0.6667 0.3333 0.8333  2 S 1.64
S1 0.0000 0.0000 0.4108  1 H 1.64
S2 0.0000 0.0000 0.5892  1 H 1.64
S3 0.3333 0.6667 0.0774  1 H 1.64
S4 0.3333 0.6667 0.2559  1 H 1.64
S5 0.6667 0.3333 0.7441  1 H 1.64
S6 0.6667 0.3333 0.9226  1 H 1.64

Computed properties:
V in Å³/cell: 261.87
Distance to the lowest polymorph of the same formula in meV per atom: 82

=====

No. 5
Compound: Tl2HS2
Source: Alexandria
Functional: GGA-PBE
Structure: optimized geometry

Cell: 5.7941 5.7941 6.5099 Å, 90.00 90.00 90.00°
Last column: nearest neighbours and their distance in Å.
Atoms (fractional coordinates):
Tl1 0.0000 0.0000 0.2164  1 H 1.85
Tl2 0.0000 0.0000 0.7836  1 H 1.85
Tl3 0.5000 0.5000 0.2836  1 H 1.85
Tl4 0.5000 0.5000 0.7164  1 H 1.85
H1 0.0000 0.0000 0.5000  2 Tl 1.85
H2 0.5000 0.5000 0.0000  2 Tl 1.85
S1 0.0000 0.5000 0.2500  4 Tl 2.91
S2 0.0000 0.5000 0.7500  4 Tl 2.91
S3 0.5000 0.0000 0.2500  4 Tl 2.91
S4 0.5000 0.0000 0.7500  4 Tl 2.91

Computed properties:
V in Å³/cell: 218.55
Distance to the lowest polymorph of the same formula in meV per atom: 0

=====

No. 6
Compound: TlH2S2
Source: Alexandria
Functional: GGA-PBE
Structure: optimized geometry

Cell: 3.9880 3.5957 6.7897 Å, 90.00 95.20 90.00°
Last column: nearest neighbours and their distance in Å.
Atoms (fractional coordinates):
Tl1 0.0000 0.0000 0.0000  5 S 2.70-2.96
H1 0.0029 0.5000 0.5616  2 S 1.80
H2 0.6798 0.0000 0.4979  1 S 1.35
S1 0.0099 0.0000 0.5640  1 H 1.35
S2 0.5089 0.5000 0.0509  4 Tl 2.70-2.71

Computed properties:
Calculated total energy in eV per atom: -3.442
V in Å³/cell: 96.96

=====

No. 7
Compound: TlH2S
Source: Alexandria
Functional: GGA-PBE
Structure: optimized geometry

Cell: 3.2894 3.2894 17.9615 Å, 90.00 90.00 120.00°
Last column: nearest neighbours and their distance in Å.
Atoms (fractional coordinates):
Tl1 0.0000 0.0000 0.0000  2 H 2.81
Tl2 0.3333 0.6667 0.6667  2 H 2.81
Tl3 0.6667 0.3333 0.3333  2 H 2.81
H1 0.0000 0.0000 0.1564  3 S 1.91, 3 H 1.93
H2 0.0000 0.0000 0.8436  3 S 1.91, 3 H 1.93
H3 0.3333 0.6667 0.5103  3 S 1.91, 3 H 1.93
H4 0.3333 0.6667 0.8231  3 S 1.91, 3 H 1.93
H5 0.6667 0.3333 0.1769  3 S 1.91, 3 H 1.93
H6 0.6667 0.3333 0.4897  3 S 1.91, 3 H 1.93
S1 0.0000 0.0000 0.5000  6 H 1.91
S2 0.3333 0.6667 0.1667  6 H 1.91
S3 0.6667 0.3333 0.8333  6 H 1.91

Computed properties:
V in Å³/cell: 168.30
Distance to the lowest polymorph of the same formula in meV per atom: 522

=====

No. 8
Compound: TlH2S
Source: Alexandria
Functional: GGA-PBE
Structure: optimized geometry

Cell: 2.8313 5.0992 5.1555 Å, 60.62 89.82 89.73°
Last column: nearest neighbours and their distance in Å.
Atoms (fractional coordinates):
Tl1 0.0000 0.0000 0.0000  2 Tl 2.83, 3 S 2.94-3.00, 5 H 3.04-3.15
H1 0.4897 0.3932 0.3781  1 H 0.75
H2 0.5081 0.2653 0.3443  1 H 0.75
S1 0.0001 0.6669 0.6685  2 S 2.83, 4 H 2.85-3.03, 3 Tl 2.94-3.00

Computed properties:
V in Å³/cell: 64.86
Distance to the lowest polymorph of the same formula in meV per atom: 140

=====

No. 9
Compound: TlH2S
Source: Alexandria
Functional: GGA-PBE
Structure: optimized geometry

Cell: 6.0665 6.1198 4.2574 Å, 90.00 90.00 90.00°
Last column: nearest neighbours and their distance in Å.
Atoms (fractional coordinates):
Tl1 0.0000 0.0000 0.0000  8 H 3.08-3.44, 4 S 3.23
Tl2 0.5000 0.5000 0.5000  8 H 3.08-3.44, 4 S 3.23
H1 0.0000 0.5000 0.1463  1 H 0.95
H2 0.0000 0.5000 0.3685  1 H 0.95
H3 0.5000 0.0000 0.6463  1 H 0.95
H4 0.5000 0.0000 0.8685  1 H 0.95
S1 0.0000 0.5000 0.7575  2 H 1.66
S2 0.5000 0.0000 0.2575  2 H 1.66

Computed properties:
V in Å³/cell: 158.06
Distance to the lowest polymorph of the same formula in meV per atom: 85

=====

No. 10
Compound: TlH2S
Source: Alexandria
Functional: GGA-PBE
Structure: optimized geometry

Cell: 5.0315 3.8916 21.5438 Å, 90.00 93.69 90.00°
Last column: nearest neighbours and their distance in Å.
Atoms (fractional coordinates):
Tl1 0.2488 0.1432 0.2444  4 Tl 3.19
Tl2 0.2488 0.3568 0.7444  4 Tl 3.19
Tl3 0.7512 0.6432 0.2556  4 Tl 3.19
Tl4 0.7512 0.8568 0.7556  4 Tl 3.19
H1 0.0006 0.7366 0.0831  1 S 1.35
H2 0.0006 0.7634 0.5831  1 S 1.35
H3 0.2983 0.5506 0.4122  1 S 1.35
H4 0.2983 0.9494 0.9122  1 S 1.35
H5 0.7017 0.0506 0.0878  1 S 1.35
H6 0.7017 0.4494 0.5878  1 S 1.35
H7 0.9994 0.2366 0.4169  1 S 1.35
H8 0.9994 0.2634 0.9169  1 S 1.35
S1 0.2568 0.2421 0.4390  2 H 1.35
S2 0.2568 0.2579 0.9390  2 H 1.35
S3 0.7432 0.7421 0.0610  2 H 1.35
S4 0.7432 0.7579 0.5610  2 H 1.35

Computed properties:
V in Å³/cell: 420.97
Distance to the lowest polymorph of the same formula in meV per atom: 17